Entry 1:
The following is a DFT calculation (PBE-GGA) of Zn7W6 after structural relaxation.

Cell: 9.524 9.524 9.524 Å, 32.04 32.04 32.04°
Atoms (fractional coordinates):
Zn (0.347, 0.347, 0.347)
Zn (0.443, 0.443, 0.443)
Zn (0.000, 0.000, 0.000)
Zn (0.166, 0.166, 0.166)
Zn (0.557, 0.557, 0.557)
Zn (0.653, 0.653, 0.653)
Zn (0.834, 0.834, 0.834)
W (0.088, 0.088, 0.585)
W (0.415, 0.912, 0.912)
W (0.088, 0.585, 0.088)
W (0.585, 0.088, 0.088)
W (0.912, 0.415, 0.912)
W (0.912, 0.912, 0.415)

Properties
**V**: 216 Å³ per cell
**Calculated formation energy**: 0.505 eV per atom

Entry 2:
The following is a DFT calculation (PBE-GGA) of ZrZnW2 after structural relaxation.

Cell: 4.585 4.585 4.585 Å, 60.00 60.00 60.00°
Atoms (fractional coordinates):
Zr (0.750, 0.750, 0.750)
W (0.000, 0.000, 0.000)
W (0.250, 0.250, 0.250)
Zn (0.500, 0.500, 0.500)

Properties
**V**: 68 Å³ per cell
**Calculated formation energy**: 0.151 eV per atom

Entry 3:
The following is a DFT calculation (PBE-GGA) of ZrZnW after structural relaxation.

Cell: 4.342 4.342 4.342 Å, 60.00 60.00 60.00°
Atoms (fractional coordinates):
W (0.250, 0.250, 0.250)
Zr (0.750, 0.750, 0.750)
Zn (0.000, 0.000, 0.000)

Properties
**V**: 58 Å³ per cell
**Polymorph energy (0 for the lowest one)**: 0 meV/atom
**Calculated formation energy**: 0.660 eV per atom